# PuMgPaOs, optimized geometry, DFT PBE
data_PuMgPaOs
_chemical_formula_sum 'Pu4 Mg4 Pa4 Os4'
_space_group_name_H-M_alt 'F -4 3 m'
_space_group_IT_number 216
_space_group_name_Hall 'F -4 2 3'
_cell_length_a 6.818
_cell_length_b 6.818
_cell_length_c 6.818
_cell_angle_alpha 90.00
_cell_angle_beta 90.00
_cell_angle_gamma 90.00
loop_
_atom_site_label
_atom_site_type_symbol
_atom_site_fract_x
_atom_site_fract_y
_atom_site_fract_z
Pu1 Pu 0.000 0.000 0.000
Mg1 Mg 0.250 0.250 0.250
Pa1 Pa 0.250 0.250 0.750
Os1 Os 0.000 0.000 0.500
# * ΔE_f: -4.4 kJ per mole of atoms



# MgPaOsRh, optimized geometry, DFT PBE
data_MgPaOsRh
_chemical_formula_sum 'Mg4 Pa4 Os4 Rh4'
_space_group_name_H-M_alt 'F -4 3 m'
_space_group_IT_number 216
_space_group_name_Hall 'F -4 2 3'
_cell_length_a 6.636
_cell_length_b 6.636
_cell_length_c 6.636
_cell_angle_alpha 90.00
_cell_angle_beta 90.00
_cell_angle_gamma 90.00
loop_
_atom_site_label
_atom_site_type_symbol
_atom_site_fract_x
_atom_site_fract_y
_atom_site_fract_z
Mg1 Mg 0.000 0.000 0.000
Pa1 Pa 0.000 0.000 0.500
Os1 Os 0.250 0.250 0.750
Rh1 Rh 0.250 0.250 0.250
# * ΔE_f: -38.8 kJ per mole of atoms



# MgPaOsRu, optimized geometry, DFT PBE
data_MgPaOsRu
_chemical_formula_sum 'Mg4 Pa4 Os4 Ru4'
_space_group_name_H-M_alt 'F -4 3 m'
_space_group_IT_number 216
_space_group_name_Hall 'F -4 2 3'
_cell_length_a 6.600
_cell_length_b 6.600
_cell_length_c 6.600
_cell_angle_alpha 90.00
_cell_angle_beta 90.00
_cell_angle_gamma 90.00
loop_
_atom_site_label
_atom_site_type_symbol
_atom_site_fract_x
_atom_site_fract_y
_atom_site_fract_z
Mg1 Mg 0.000 0.000 0.000
Pa1 Pa 0.000 0.000 0.500
Os1 Os 0.250 0.250 0.250
Ru1 Ru 0.250 0.250 0.750
# * ΔE_f: -25.1 kJ per mole of atoms



# MgPaZnOs, optimized geometry, DFT PBE
data_MgPaZnOs
_chemical_formula_sum 'Mg4 Pa4 Zn4 Os4'
_space_group_name_H-M_alt 'F -4 3 m'
_space_group_IT_number 216
_space_group_name_Hall 'F -4 2 3'
_cell_length_a 6.718
_cell_length_b 6.718
_cell_length_c 6.718
_cell_angle_alpha 90.00
_cell_angle_beta 90.00
_cell_angle_gamma 90.00
loop_
_atom_site_label
_atom_site_type_symbol
_atom_site_fract_x
_atom_site_fract_y
_atom_site_fract_z
Mg1 Mg 0.000 0.000 0.000
Pa1 Pa 0.000 0.000 0.500
Zn1 Zn 0.250 0.250 0.250
Os1 Os 0.250 0.250 0.750
# * ΔE_f: -4.3 kJ per mole of atoms



# MgOs4Pb, optimized geometry, DFT PBE
data_MgOs4Pb
_chemical_formula_sum 'Mg4 Os16 Pb4'
_space_group_name_H-M_alt 'F -4 3 m'
_space_group_IT_number 216
_space_group_name_Hall 'F -4 2 3'
_cell_length_a 7.491
_cell_length_b 7.491
_cell_length_c 7.491
_cell_angle_alpha 90.00
_cell_angle_beta 90.00
_cell_angle_gamma 90.00
loop_
_atom_site_label
_atom_site_type_symbol
_atom_site_fract_x
_atom_site_fract_y
_atom_site_fract_z
Mg1 Mg 0.000 0.000 0.000
Os1 Os 0.125 0.125 0.625
Pb1 Pb 0.250 0.250 0.250
# * ΔE_f: 65.1 kJ per mole of atoms



# MgOsPb4, optimized geometry, DFT PBE
data_MgOsPb4
_chemical_formula_sum 'Mg4 Os4 Pb16'
_space_group_name_H-M_alt 'F -4 3 m'
_space_group_IT_number 216
_space_group_name_Hall 'F -4 2 3'
_cell_length_a 8.766
_cell_length_b 8.766
_cell_length_c 8.766
_cell_angle_alpha 90.00
_cell_angle_beta 90.00
_cell_angle_gamma 90.00
loop_
_atom_site_label
_atom_site_type_symbol
_atom_site_fract_x
_atom_site_fract_y
_atom_site_fract_z
Mg1 Mg 0.000 0.000 0.000
Os1 Os 0.250 0.250 0.750
Pb1 Pb 0.124 0.124 0.376
# * ΔE_f: 98.8 kJ per mole of atoms



# MgOsPb3, optimized geometry, DFT PBE
data_MgOsPb3
_chemical_formula_sum 'Mg1 Os1 Pb3'
_space_group_name_H-M_alt 'P m -3 m'
_space_group_IT_number 221
_space_group_name_Hall '-P 4 2 3'
_cell_length_a 5.332
_cell_length_b 5.332
_cell_length_c 5.332
_cell_angle_alpha 90.00
_cell_angle_beta 90.00
_cell_angle_gamma 90.00
loop_
_atom_site_label
_atom_site_type_symbol
_atom_site_fract_x
_atom_site_fract_y
_atom_site_fract_z
Mg1 Mg 0.000 0.000 0.000
Os1 Os 0.500 0.500 0.500
Pb1 Pb 0.000 0.500 0.500
# * ΔE_f: 52.1 kJ per mole of atoms
# * relative energy among the computed polymorphs: 0.000 eV per atom



# MgOsPb, optimized geometry, DFT PBE
data_MgOsPb
_chemical_formula_sum 'Mg1 Os1 Pb1'
_space_group_name_H-M_alt 'P -6 m 2'
_space_group_IT_number 187
_space_group_name_Hall 'P -6 2'
_cell_length_a 4.7014
_cell_length_b 4.7014
_cell_length_c 3.1112
_cell_angle_alpha 90.00
_cell_angle_beta 90.00
_cell_angle_gamma 120.00
loop_
_atom_site_label
_atom_site_type_symbol
_atom_site_fract_x
_atom_site_fract_y
_atom_site_fract_z
Mg1 Mg 0.0000 0.0000 0.0000
Os1 Os 0.3333 0.6667 0.5000
Pb1 Pb 0.6667 0.3333 0.5000
# * ΔE_f: 57.6 kJ per mole of atoms
# * relative energy among the computed polymorphs: 0.213 eV per atom